Entry a
Compound: VZnSi2Tc
Source: the Alexandria database
Functional: PBE-GGA
Structure: relaxed

The space group is P4/mmm (No. 123) and the conventional cell measures 4.3484, 4.3484 and 4.4512 Å, with angles of 90.00, 90.00 and 90.00 degrees. The asymmetric unit holds V at (0.0000, 0.0000, 0.0000), Zn at (0.0000, 0.0000, 0.5000), Si at (0.0000, 0.5000, 0.5000) and Tc at (0.5000, 0.5000, 0.0000).

The total magnetic moment is 0.46 Bohr magnetons per cell.

Entry b
Compound: VZnSi2Tc
Source: the Alexandria database
Functional: PBE-GGA
Structure: relaxed

The space group is P4/mmm (No. 123) and the conventional cell measures 4.4852, 4.4852 and 4.6597 Å, with angles of 90.00, 90.00 and 90.00 degrees. The asymmetric unit holds V at (0.0000, 0.0000, 0.0000), Zn at (0.0000, 0.0000, 0.5000), Si at (0.0000, 0.5000, 0.0000) and Tc at (0.5000, 0.5000, 0.5000).

The total magnetic moment is 3.47 Bohr magnetons per cell.

Tell me which of them is the most stable. Sure, it is entry b.

Entry a
Compound: Y2SiTc2
Source: the Alexandria database
Functional: PBE-GGA
Structure: relaxed

The space group is I4/mmm (No. 139) and the conventional cell measures 3.5138, 3.5138 and 17.5464 Å, with angles of 90.00, 90.00 and 90.00 degrees. The asymmetric unit holds Y at (0.0000, 0.0000, 0.1031), Si at (0.0000, 0.0000, 0.5000) and Tc at (0.0000, 0.5000, 0.2500).

The total magnetic moment is 0.00 Bohr magnetons per cell.

Entry b
Compound: Y2SiTc2
Source: the Alexandria database
Functional: PBE-GGA
Structure: relaxed

The space group is P4/mbm (No. 127) and the conventional cell measures 6.5891, 6.5891 and 4.6460 Å, with angles of 90.00, 90.00 and 90.00 degrees. The asymmetric unit holds Y at (0.1774, 0.3226, 0.0000), Si at (0.0000, 0.0000, 0.5000) and Tc at (0.1276, 0.6276, 0.5000).

The total magnetic moment is 0.00 Bohr magnetons per cell.

Tell me which of them is the most stable. Sure, it is entry b.